CdGeSe2F | PBE-GGA | relaxed

Lattice parameters (Å, degrees): 5.239 4.271 5.239 90.00 90.00 90.00
Atoms (fractional coordinates):
Se: 0.000 0.000 0.500
F: 0.000 0.500 0.000
Se: 0.500 0.000 0.000
Cd: 0.000 0.000 0.000
Ge: 0.500 0.500 0.500

Results
energy relative to the elements, uncorrected	-0.3011	eV/atom
calculated volume	117.2	Å³/cell
M_tot	0.00	μB per cell
DOS at the Fermi energy	2.9	states/eV/cell

=====

Na2LiBr3 | PBE-GGA | relaxed

Lattice parameters (Å, degrees): 4.105 5.917 7.207 114.24 106.55 90.00
Atoms (fractional coordinates):
Na: 0.831 0.831 0.162
Br: 0.500 0.000 0.500
Na: 0.169 0.169 0.838
Li: 0.500 0.500 0.500
Br: 0.154 0.654 0.809
Br: 0.846 0.346 0.191

Results
energy relative to the elements, uncorrected	-1.5336	eV/atom
calculated volume	151.6	Å³/cell
M_tot	0.00	μB per cell
DOS at the Fermi energy	0.0	states/eV/cell
energy above the most stable polymorph in this dataset	2.2	meV/atom

=====

GePd3Pb2 | PBE-GGA | relaxed

Lattice parameters (Å, degrees): 5.586 7.057 6.944 104.80 113.72 90.00
Atoms (fractional coordinates):
Ge: 0.795 0.750 0.000
Pd: 0.118 0.059 0.235
Pd: 0.117 0.559 0.235
Pd: 0.332 0.750 0.000
Ge: 0.205 0.250 0.000
Pb: 0.315 0.906 0.630
Pd: 0.882 0.941 0.765
Pb: 0.685 0.594 0.370
Pb: 0.685 0.094 0.370
Pd: 0.668 0.250 0.000
Pb: 0.315 0.406 0.630
Pd: 0.883 0.441 0.765

Results
energy relative to the elements	-256	meV/atom
calculated volume	240.6	Å³/cell
M_tot	0.00	μB per cell
DOS at the Fermi energy	6.1	states/eV/cell

=====

Ca2Sm3NpN6 | PBE-GGA | relaxed

Lattice parameters (Å, degrees): 6.111 6.111 6.092 99.64 99.64 119.92
Atoms (fractional coordinates):
N: 0.377 0.080 0.240
N: 0.623 0.920 0.760
N: 0.783 0.783 0.237
Np: 0.000 0.000 0.000
Ca: 0.666 0.334 0.000
N: 0.080 0.377 0.240
Ca: 0.334 0.666 0.000
Sm: 0.500 0.500 0.500
Sm: 0.168 0.832 0.500
N: 0.217 0.217 0.763
N: 0.920 0.623 0.760
Sm: 0.832 0.168 0.500

Results
energy relative to the elements, uncorrected	-1.3196	eV/atom
calculated volume	185.8	Å³/cell
M_tot	1.80	μB per cell
DOS at the Fermi energy	3.9	states/eV/cell

=====

ScSi2Tc | PBE-GGA | relaxed

Lattice parameters (Å, degrees): 4.037 3.193 4.948 71.21 90.00 90.00
Atoms (fractional coordinates):
Si: 0.000 0.196 0.983
Si: 0.500 0.046 0.284
Sc: 0.500 0.774 0.826
Tc: 0.000 0.484 0.407

Results
energy relative to the elements, uncorrected	-0.5336	eV/atom
calculated volume	60.4	Å³/cell
M_tot	0.00	μB per cell
DOS at the Fermi energy	2.0	states/eV/cell
energy above the most stable polymorph in this dataset	173.4	meV/atom

=====

Dy6N5F | PBE-GGA | relaxed

Lattice parameters (Å, degrees): 6.027 6.027 6.018 99.70 99.70 119.94
Atoms (fractional coordinates):
N: 0.333 0.667 0.000
Dy: 0.736 0.736 0.264
Dy: 0.563 0.915 0.744
N: 0.167 0.833 0.500
Dy: 0.085 0.437 0.256
N: 0.833 0.167 0.500
Dy: 0.915 0.563 0.744
N: 0.667 0.333 0.000
N: 0.500 0.500 0.500
Dy: 0.264 0.264 0.736
Dy: 0.437 0.085 0.256
F: 0.000 0.000 0.000

Results
energy relative to the elements, uncorrected	-1.8927	eV/atom
calculated volume	178.4	Å³/cell
M_tot	0.00	μB per cell
DOS at the Fermi energy	2.3	states/eV/cell

=====

Among the records above, which one has the highest DOS at the Fermi energy? GePd3Pb2

=====

Number 3 is which compound? GePd3Pb2